(1)
This record from Alexandria via LeMat-Bulk describes a relaxed MgSeS2Cl crystal. The functional is PBE-GGA.

Unit cell a=4.9244 b=4.9244 c=4.7335 alpha=90.00 beta=90.00 gamma=90.00
Atoms (fractional coordinates):
S1 0.0000 0.5000 0.0000
S2 0.5000 0.0000 0.0000
Mg1 0.5000 0.5000 0.5000
Se1 0.0000 0.0000 0.0000
Cl1 0.0000 0.0000 0.5000

Properties
energy above the most stable polymorph in this dataset = 0 meV/atom
raw total energy = -2.967 eV per atom
uncorrected formation energy = 69 meV per atom


(2)
This record from Alexandria via LeMat-Bulk describes a relaxed YTeF2 crystal. The functional is PBE-GGA.

Unit cell a=6.4283 b=6.4283 c=6.4283 alpha=35.09 beta=35.09 gamma=35.09
Atoms (fractional coordinates):
Y1 0.5000 0.5000 0.5000
Te1 0.0000 0.0000 0.0000
F1 0.8049 0.8049 0.8049
F2 0.1951 0.1951 0.1951

Properties
raw total energy = -6.068 eV per atom
uncorrected formation energy = -2730 meV per atom


(3)
This record from Alexandria via LeMat-Bulk describes a relaxed La2TlGaPt crystal. The functional is PBE-GGA.

Unit cell a=4.7036 b=7.5458 c=7.9935 alpha=108.70 beta=90.00 gamma=90.00
Atoms (fractional coordinates):
La1 0.7500 0.8615 0.6668
La2 0.7500 0.7030 0.0472
La3 0.2500 0.1385 0.3332
La4 0.2500 0.2970 0.9528
Tl1 0.2500 0.6755 0.3548
Tl2 0.7500 0.3245 0.6452
Ga1 0.2500 0.5637 0.6893
Ga2 0.7500 0.4363 0.3107
Pt1 0.2500 0.8888 0.9274
Pt2 0.7500 0.1112 0.0726

Properties
raw total energy = -5.001 eV per atom
ΔE_f = -3.7 eV/f.u.


(4)
This record from Alexandria via LeMat-Bulk describes a relaxed SmIO crystal. The functional is PBE-GGA.

Unit cell a=3.9406 b=3.9406 c=5.2868 alpha=90.00 beta=90.00 gamma=120.00
Atoms (fractional coordinates):
I1 0.0000 0.0000 0.0003
O1 0.3333 0.6667 0.5002
Sm1 0.6667 0.3333 0.4994

Properties
raw total energy = -6.165 eV per atom
uncorrected formation energy = -2422 meV per atom


(5)
This record from Alexandria via LeMat-Bulk describes a relaxed UTcPb2O8 crystal. The functional is PBE-GGA.

Unit cell a=5.3877 b=5.3801 c=6.6403 alpha=90.00 beta=90.00 gamma=90.64
Atoms (fractional coordinates):
U1 0.0000 0.0000 0.0000
Tc1 0.0000 0.0000 0.5000
Pb1 0.5000 0.5000 0.7436
Pb2 0.5000 0.5000 0.2564
O1 0.1681 0.8289 0.2599
O2 0.7324 0.7353 0.0000
O3 0.8319 0.1711 0.2599
O4 0.8319 0.1711 0.7401
O5 0.2676 0.2647 0.0000
O6 0.1681 0.8289 0.7401
O7 0.7601 0.7639 0.5000
O8 0.2399 0.2361 0.5000

Properties
raw total energy = -7.523 eV per atom
uncorrected formation energy = -1794 meV per atom


(6)
This record from Alexandria via LeMat-Bulk describes a relaxed Ac4ZnCd3 crystal. The functional is PBE-GGA.

Unit cell a=4.0194 b=4.0194 c=16.2634 alpha=90.00 beta=90.00 gamma=90.00
Atoms (fractional coordinates):
Ac1 0.0000 0.0000 0.8858
Ac2 0.0000 0.0000 0.1142
Ac3 0.0000 0.0000 0.3728
Ac4 0.0000 0.0000 0.6272
Zn1 0.5000 0.5000 0.0000
Cd1 0.5000 0.5000 0.2441
Cd2 0.5000 0.5000 0.5000
Cd3 0.5000 0.5000 0.7559

Properties
energy above the most stable polymorph in this dataset = 0 meV/atom
raw total energy = -2.836 eV per atom
ΔE_f = -2.2 eV/f.u.


(7)
This record from Alexandria via LeMat-Bulk describes a relaxed AcThBeN3 crystal. The functional is PBE-GGA.

Unit cell a=3.5717 b=7.6764 c=7.1677 alpha=100.63 beta=90.00 gamma=90.00
Atoms (fractional coordinates):
Ac1 0.2500 0.1728 0.2187
Ac2 0.7500 0.8272 0.7813
Th1 0.2500 0.6548 0.1910
Th2 0.7500 0.3452 0.8090
Be1 0.2500 0.0670 0.6040
Be2 0.7500 0.9330 0.3960
N1 0.7500 0.8722 0.1560
N2 0.2500 0.1278 0.8440
N3 0.2500 0.8549 0.4923
N4 0.7500 0.1451 0.5077
N5 0.7500 0.4242 0.1518
N6 0.2500 0.5758 0.8482

Properties
raw total energy = -7.982 eV per atom
uncorrected formation energy = -1277 meV per atom


(8)
This record from Alexandria via LeMat-Bulk describes a relaxed Li2CaOs crystal. The functional is PBE-GGA.

Unit cell a=10.5341 b=10.5341 c=10.5341 alpha=15.57 beta=15.57 gamma=15.57
Atoms (fractional coordinates):
Ca1 0.7500 0.7500 0.7500
Li1 0.9862 0.9862 0.9862
Li2 0.5138 0.5138 0.5138
Os1 0.2500 0.2500 0.2500

Properties
energy above the most stable polymorph in this dataset = 280 meV/atom
raw total energy = -3.651 eV per atom
ΔE_f = 2.5 eV/f.u.


(9)
This record from Alexandria via LeMat-Bulk describes a relaxed NaGaTe2 crystal. The functional is PBE-GGA.

Unit cell a=8.4192 b=8.4192 c=6.7300 alpha=51.28 beta=51.28 gamma=90.00
Atoms (fractional coordinates):
Na1 0.7500 0.2500 0.5000
Na2 0.2500 0.7500 0.5000
Te1 0.7501 0.2501 0.0000
Te2 0.2499 0.7499 0.0000
Te3 0.2501 0.2499 0.0000
Te4 0.7499 0.7501 0.0000
Ga1 0.7500 0.7500 0.5000
Ga2 0.2500 0.2500 0.5000

Properties
raw total energy = -2.977 eV per atom
uncorrected formation energy = -320 meV per atom


(10)
This record from Alexandria via LeMat-Bulk describes a relaxed NbP6Br12 crystal. The functional is PBE-GGA.

Unit cell a=10.1320 b=10.1319 c=10.1317 alpha=59.26 beta=59.26 gamma=59.26
Atoms (fractional coordinates):
Nb1 0.0000 0.0000 0.0000
P1 0.1426 0.3326 0.3942
P2 0.6674 0.6058 0.8573
P3 0.6058 0.8574 0.6674
P4 0.8574 0.6674 0.6058
P5 0.3326 0.3942 0.1427
P6 0.3942 0.1426 0.3326
Br1 0.6230 0.0278 0.7277
Br2 0.0278 0.7277 0.6230
Br3 0.7277 0.6230 0.0278
Br4 0.3770 0.9722 0.2723
Br5 0.9722 0.2723 0.3770
Br6 0.2723 0.3770 0.9722
Br7 0.1689 0.8945 0.7605
Br8 0.2395 0.8311 0.1055
Br9 0.1055 0.2395 0.8311
Br10 0.8311 0.1055 0.2395
Br11 0.7605 0.1689 0.8945
Br12 0.8945 0.7605 0.1689

Properties
raw total energy = -3.606 eV per atom
uncorrected formation energy = -311 meV per atom


(11)
This record from Alexandria via LeMat-Bulk describes a relaxed La3Nd8Y2 crystal. The functional is PBE-GGA.

Unit cell a=5.8400 b=7.7732 c=11.0950 alpha=110.51 beta=90.03 gamma=90.00
Atoms (fractional coordinates):
La1 0.5000 0.0000 0.0000
La2 0.0000 0.2921 0.0000
La3 0.0000 0.7079 0.0000
Nd1 0.0004 0.6753 0.3507
Nd2 0.9996 0.3247 0.6493
Nd3 0.9987 0.1357 0.2715
Nd4 0.0013 0.8643 0.7285
Nd5 0.5006 0.6002 0.7833
Nd6 0.5006 0.1831 0.7833
Nd7 0.4994 0.8169 0.2167
Nd8 0.4994 0.3998 0.2167
Y1 0.4989 0.2414 0.4828
Y2 0.5011 0.7586 0.5172

Properties
energy above the most stable polymorph in this dataset = 52 meV/atom
raw total energy = -4.853 eV per atom
ΔE_f = 2.8 eV/f.u.


(12)
This record from Alexandria via LeMat-Bulk describes a relaxed Li2SiRh crystal. The functional is PBE-GGA.

Unit cell a=4.7566 b=4.7566 c=2.8004 alpha=90.00 beta=90.00 gamma=120.28
Atoms (fractional coordinates):
Li1 0.0000 0.0000 0.0000
Li2 0.5000 0.5000 0.0000
Rh1 0.5000 0.0000 0.5000
Si1 0.0000 0.5000 0.5000

Properties
raw total energy = -4.451 eV per atom
uncorrected formation energy = -300 meV per atom